# 1
Compound: BeTlZnIrBr
Source: the Alexandria database
Functional: PBE
Structure: optimized geometry

Summary:
The symmetry is Cm (8). As for the energy above the most stable polymorph in this dataset: 91 meV per atom. The value obtained for the formation energy without anion corrections is -0.08 eV/atom.

Cell lengths 3.940, 3.940, 8.307 Å; angles 90.09, 90.09, 60.01 degrees
Element x y z (fractional)
1 Be 0.000 0.000 0.000
2 Tl 0.001 0.001 0.601
3 Zn 0.666 0.666 0.895
4 Ir 0.333 0.333 0.033
5 Br 0.334 0.334 0.333



# 2
Compound: AcPm3Tl
Source: the Alexandria database
Functional: PBE
Structure: optimized geometry

Summary:
The symmetry is Cmcm (63). As for the energy above the most stable polymorph in this dataset: 0 meV per atom. The calculation puts the formation enthalpy at 0 K at -2.306 kcal/mol of atoms.

Cell lengths 13.572, 13.572, 4.909 Å; angles 90.00, 90.00, 157.96 degrees
Element x y z (fractional)
1 Ac 0.148 0.852 0.750
2 Ac 0.852 0.148 0.250
3 Pm 0.045 0.955 0.250
4 Pm 0.254 0.746 0.250
5 Pm 0.448 0.552 0.250
6 Pm 0.552 0.448 0.750
7 Pm 0.746 0.254 0.750
8 Pm 0.955 0.045 0.750
9 Tl 0.345 0.655 0.750
10 Tl 0.655 0.345 0.250



# 3
Compound: Hf7InSn3
Source: the Alexandria database
Functional: PBE
Structure: optimized geometry

Summary:
The symmetry is Immm (71). The calculation puts the formation enthalpy at 0 K at 2.080 kcal/mol of atoms.

Cell lengths 7.471, 7.471, 7.471 Å; angles 137.70, 105.46, 89.65 degrees
Element x y z (fractional)
1 Hf 0.000 0.000 0.000
2 Hf 0.091 0.764 0.327
3 Hf 0.320 0.500 0.820
4 Hf 0.437 0.764 0.673
5 Hf 0.563 0.236 0.327
6 Hf 0.680 0.500 0.180
7 Hf 0.909 0.236 0.673
8 In 0.000 0.500 0.500
9 Sn 0.269 0.269 0.000
10 Sn 0.500 0.000 0.500
11 Sn 0.731 0.731 0.000



Please write out number 2 again, unchanged.
Compound: AcPm3Tl
Source: the Alexandria database
Functional: PBE
Structure: optimized geometry

Summary:
The symmetry is Cmcm (63). As for the energy above the most stable polymorph in this dataset: 0 meV per atom. The calculation puts the formation enthalpy at 0 K at -2.306 kcal/mol of atoms.

Cell lengths 13.572, 13.572, 4.909 Å; angles 90.00, 90.00, 157.96 degrees
Element x y z (fractional)
1 Ac 0.148 0.852 0.750
2 Ac 0.852 0.148 0.250
3 Pm 0.045 0.955 0.250
4 Pm 0.254 0.746 0.250
5 Pm 0.448 0.552 0.250
6 Pm 0.552 0.448 0.750
7 Pm 0.746 0.254 0.750
8 Pm 0.955 0.045 0.750
9 Tl 0.345 0.655 0.750
10 Tl 0.655 0.345 0.250